DFT (PBE-GGA) results for KAgB after structural relaxation.

Computed properties:
ΔE to the lowest computed polymorph in kJ/mol of atoms: 14.07
Symmetry: F-43m
Uncorrected energy in eV/atom: -2.06

abc: 4.7340 4.7340 4.7340
angles: 60.00 60.00 60.00
Fractional positions:
1 Ag 0.0000 0.0000 0.0000
2 K 0.7500 0.7500 0.7500
3 B 0.2500 0.2500 0.2500